Entry 1:
4
Lattice="-2.211 -1.802 1.612 0.875 -1.639 2.698 -3.411 8.703 8.380" Properties=species:S:1:pos:R:3 comment="PBE Ce2TmCd, optimized geometry" formation_energy_mev_per_atom=215 pbc="T T T"
Ce -2.127 -0.815 6.161
Tm -2.373 2.631 6.345
Cd 0.000 0.000 0.000
Ce -2.620 6.077 6.529

---

Entry 2:
4
Lattice="-1.942 2.950 -0.543 -3.976 -3.097 -2.604 -2.620 -0.812 4.966" Properties=species:S:1:pos:R:3 comment="PBE Ce2TmCd, optimized geometry" formation_energy_mev_per_atom=47 pbc="T T T"
Cd -0.971 1.475 -0.271
Ce -1.310 -0.406 2.483
Tm -4.269 -0.479 0.910
Ce -1.988 -1.548 -1.302

---

Entry 3:
7
Lattice="4.967 0.000 -1.583 -0.505 4.941 -1.583 -0.109 -0.121 8.240" Properties=species:S:1:pos:R:3 comment="PBE Ce2TmCd4, optimized geometry" formation_energy_mev_per_atom=-52 pbc="T T T"
Ce 1.089 1.206 3.416
Cd 4.148 1.843 4.429
Tm 0.000 0.000 0.000
Ce 3.264 3.615 1.657
Cd 2.941 0.507 0.644
Cd 0.205 2.978 0.644
Cd 1.412 4.314 4.429

---

Entry 4:
7
Lattice="5.537 -0.237 -0.501 -2.026 5.158 -0.501 -0.592 -0.830 6.743" Properties=species:S:1:pos:R:3 comment="PBE CeTmCd5, optimized geometry" formation_energy_mev_per_atom=-45 pbc="T T T"
Cd 3.942 2.119 0.867
Cd 0.721 4.417 0.867
Cd -0.296 -0.415 3.372
Tm 1.459 2.046 2.871
Cd 2.198 -0.326 4.874
Ce 0.000 0.000 0.000
Cd -1.024 1.972 4.874

---

Entry 5:
4
Lattice="-0.750 2.556 2.232 -3.309 0.677 0.818 -0.763 -5.842 9.137" Properties=species:S:1:pos:R:3 comment="PBE CeTm2Cd, optimized geometry" formation_energy_mev_per_atom=-49 pbc="T T T"
Ce -2.411 -1.305 6.094
Tm -3.609 -2.051 9.251
Cd 0.000 0.000 0.000
Tm -1.214 -0.558 2.937

---

Entry 6:
8
Lattice="4.901 0.000 0.000 0.000 6.569 0.153 0.000 -2.771 5.958" Properties=species:S:1:pos:R:3 comment="PBE CeTmCd6, optimized geometry" formation_energy_mev_per_atom=-213 pbc="T T T"
Cd 2.451 4.179 3.455
Cd 0.000 2.594 2.624
Cd 2.451 5.839 0.607
Ce 0.000 -1.710 5.298
Tm 2.451 0.848 3.709
Cd 2.451 2.550 0.834
Cd 0.000 -0.633 2.225
Cd 0.000 1.523 5.694

---

Entry 7:
11
Lattice="-1.596 -1.520 4.850 3.562 -5.465 -0.569 5.251 7.220 1.079" Properties=species:S:1:pos:R:3 comment="PBE Ce2TmCd8, optimized geometry" formation_energy_mev_per_atom=-148 pbc="T T T"
Cd 1.489 -3.286 0.922
Tm -0.798 -0.760 2.425
Cd 1.661 0.711 3.695
Ce 3.354 -2.074 3.365
Cd 0.476 -3.698 3.359
Cd 4.865 0.547 4.638
Cd 2.881 3.521 5.037
Ce 3.862 2.310 1.995
Cd 2.351 -0.311 0.722
Cd 4.335 -3.285 0.323
Cd 5.555 -0.475 1.665

---

Entry 8:
19
Lattice="-4.649 -5.448 2.728 5.334 -4.422 3.276 -0.665 2.643 7.163" Properties=species:S:1:pos:R:3 comment="PBE CeTmCd17, optimized geometry" formation_energy_mev_per_atom=-97 pbc="T T T"
Cd 2.107 -4.604 11.618
Cd -3.418 -3.011 4.055
Cd 1.123 0.497 5.974
Cd -1.638 -5.108 2.901
Cd 1.917 -2.249 7.046
Cd 0.285 -5.564 5.229
Ce 0.013 -4.818 8.777
Tm 0.006 -2.344 4.270
Cd 0.002 -0.759 1.382
Cd 0.018 -6.572 11.972
Cd -2.172 -2.670 6.821
Cd -1.840 0.192 5.811
Cd 2.315 -4.702 3.118
Cd -2.468 -5.401 6.008
Cd -2.375 -5.064 11.372
Cd 3.497 -2.301 4.434
Cd 0.318 -8.236 9.626
Cd -0.347 -1.094 8.369
Cd 2.846 -4.855 6.299

---

Entry 9:
11
Lattice="-5.273 -0.162 0.796 -1.055 0.156 -6.217 3.372 -7.941 2.475" Properties=species:S:1:pos:R:3 comment="PBE CeTm2Cd8, optimized geometry" formation_energy_mev_per_atom=-203 pbc="T T T"
Tm -3.085 -3.005 -2.799
Cd -0.722 -1.976 -4.834
Cd -2.233 -5.970 1.889
Cd -4.470 -0.044 -2.472
Cd -0.404 -4.639 -3.248
Cd -1.857 0.039 -2.948
Cd -2.552 -3.308 0.303
Ce -2.636 -0.081 0.398
Cd -0.222 -2.062 -1.507
Tm 0.130 -4.941 -0.146
Cd -2.733 -5.885 -1.439

---

Entry 10:
4
Lattice="4.721 0.000 0.000 0.000 4.846 0.000 0.000 0.000 4.846" Properties=species:S:1:pos:R:3 comment="PBE CeTm2Cd, optimized geometry" formation_energy_mev_per_atom=-36 pbc="T T T"
Tm 0.000 0.000 2.423
Ce 2.361 2.423 2.423
Tm 0.000 2.423 0.000
Cd 2.361 0.000 0.000

---

Entry 11:
8
Lattice="4.877 0.000 0.000 0.000 4.877 0.000 -2.438 -2.438 8.388" Properties=species:S:1:pos:R:3 comment="PBE Ce2TmCd5, optimized geometry" formation_energy_mev_per_atom=-200 pbc="T T T"
Cd 2.438 2.438 0.000
Tm 0.000 0.000 0.000
Cd 0.000 2.438 1.923
Ce 0.000 0.000 4.343
Cd 0.000 2.438 6.465
Cd 2.438 0.000 1.923
Ce 2.438 2.438 4.045
Cd 2.438 0.000 6.465

---

Entry 12:
4
Lattice="3.519 0.000 0.000 0.000 3.519 0.000 0.000 0.000 8.850" Properties=species:S:1:pos:R:3 comment="PBE CeTm2Cd, optimized geometry" formation_energy_mev_per_atom=-105 pbc="T T T"
Ce 1.760 1.760 4.425
Tm 0.000 0.000 6.805
Tm 0.000 0.000 2.044
Cd 1.760 1.760 0.000